Record 1
Computed, not measured: a relaxed SrZn2Se crystal at the GGA-PBE level of DFT.

Cell: 3.7640 3.7640 6.7467 Å, 90.00 90.00 90.00°
Sites, in units of the cell vectors:
Sr 0.0000 0.0000 0.0000
Zn 0.5000 0.5000 0.3030
Zn 0.5000 0.5000 0.6970
Se 0.0000 0.0000 0.5000

Values from the calculation:
Density of states at the Fermi level, states/eV/f.u.: 1.04
Symmetry: P4/mmm (123)



Record 2
Computed, not measured: a relaxed SrZrZn2Se crystal at the GGA-PBE level of DFT.

Cell: 5.1775 5.1775 5.0937 Å, 90.00 90.00 90.00°
Sites, in units of the cell vectors:
Sr 0.0000 0.0000 0.0000
Zr 0.5000 0.5000 0.0000
Zn 0.0000 0.5000 0.5000
Zn 0.5000 0.0000 0.5000
Se 0.5000 0.5000 0.5000

Values from the calculation:
Density of states at the Fermi level, states/eV/f.u.: 4.79
Symmetry: P4/mmm (123)



Record 3
Computed, not measured: a relaxed Sr2ZrZnSe5 crystal at the GGA-PBE level of DFT.

Cell: 9.3238 9.3238 12.8467 Å, 90.00 90.00 154.77°
Sites, in units of the cell vectors:
Sr 0.1097 0.8903 0.5000
Sr 0.1239 0.8761 0.1319
Sr 0.8761 0.1239 0.6319
Sr 0.8903 0.1097 0.0000
Zr 0.2092 0.7908 0.8364
Zr 0.7908 0.2092 0.3364
Zn 0.4401 0.5599 0.2616
Zn 0.5599 0.4401 0.7616
Se 0.0594 0.9406 0.8707
Se 0.2849 0.7151 0.4800
Se 0.3025 0.6975 0.1904
Se 0.3548 0.6452 0.8215
Se 0.4993 0.5007 0.0949
Se 0.5007 0.4993 0.5949
Se 0.6452 0.3548 0.3215
Se 0.6975 0.3025 0.6904
Se 0.7151 0.2849 0.9800
Se 0.9406 0.0594 0.3707

Values from the calculation:
Symmetry: Cmc2_1 (36)



Record 4
Computed, not measured: a relaxed SrZrSe crystal at the GGA-PBE level of DFT.

Cell: 5.2411 5.2411 5.2411 Å, 60.00 60.00 60.00°
Sites, in units of the cell vectors:
Sr 0.0000 0.0000 0.0000
Zr 0.2500 0.2500 0.2500
Se 0.7500 0.7500 0.7500

Values from the calculation:
Density of states at the Fermi level, states/eV/f.u.: 2.65
Energy relative to the lowest polymorph listed for this composition, eV per atom: 1.255
Symmetry: F-43m (216)



Record 5
Computed, not measured: a relaxed SrZr4Se8 crystal at the GGA-PBE level of DFT.

Cell: 8.6955 8.6955 8.6955 Å, 51.64 51.64 51.64°
Sites, in units of the cell vectors:
Sr 0.0000 0.0000 0.0000
Zr 0.0000 0.0000 0.5000
Zr 0.0000 0.5000 0.0000
Zr 0.5000 0.0000 0.0000
Zr 0.5000 0.5000 0.5000
Se 0.2379 0.2379 0.2379
Se 0.2444 0.7369 0.7369
Se 0.2631 0.2631 0.7556
Se 0.2631 0.7556 0.2631
Se 0.7369 0.2444 0.7369
Se 0.7369 0.7369 0.2444
Se 0.7556 0.2631 0.2631
Se 0.7621 0.7621 0.7621

Values from the calculation:
Density of states at the Fermi level, states/eV/f.u.: 6.03
Symmetry: R-3m (166)



Record 6
Computed, not measured: a relaxed Sr2ZrSe crystal at the GGA-PBE level of DFT.

Cell: 9.7196 9.7196 9.7196 Å, 157.42 156.69 32.68°
Sites, in units of the cell vectors:
Sr 0.1590 0.1590 0.0000
Sr 0.8410 0.8410 0.0000
Zr 0.5000 0.0000 0.5000
Se 0.0000 0.5000 0.5000

Values from the calculation:
Density of states at the Fermi level, states/eV/f.u.: 3.40
Symmetry: Immm (71)



Record 7
Computed, not measured: a relaxed Sr2ZrSe crystal at the GGA-PBE level of DFT.

Cell: 6.3028 6.3028 6.3028 Å, 135.30 135.30 65.06°
Sites, in units of the cell vectors:
Sr 0.2500 0.7500 0.5000
Sr 0.7500 0.2500 0.5000
Zr 0.0000 0.0000 0.0000
Se 0.5000 0.5000 0.0000

Values from the calculation:
Density of states at the Fermi level, states/eV/f.u.: 5.04
Symmetry: I4/mmm (139)



Record 8
Computed, not measured: a relaxed Sr2ZrSe crystal at the GGA-PBE level of DFT.

Cell: 3.7608 3.7608 9.2871 Å, 90.00 90.00 90.00°
Sites, in units of the cell vectors:
Sr 0.0000 0.0000 0.0000
Sr 0.5000 0.5000 0.3663
Zr 0.0000 0.0000 0.6333
Se 0.5000 0.5000 0.7244

Values from the calculation:
Density of states at the Fermi level, states/eV/f.u.: 4.90
Symmetry: P4mm (99)



Record 9
Computed, not measured: a relaxed Sr2ZrSe crystal at the GGA-PBE level of DFT.

Cell: 4.4851 6.7130 6.7130 Å, 41.55 90.00 90.00°
Sites, in units of the cell vectors:
Sr 0.0000 0.0000 0.0000
Sr 0.5000 0.3009 0.3009
Zr 0.0000 0.7059 0.7059
Se 0.5000 0.5864 0.5864

Values from the calculation:
Density of states at the Fermi level, states/eV/f.u.: 4.02
Symmetry: Amm2 (38)



Record 10
Computed, not measured: a relaxed SrZrSe4 crystal at the GGA-PBE level of DFT.

Cell: 5.9154 5.9154 5.9154 Å, 60.00 60.00 60.00°
Sites, in units of the cell vectors:
Sr 0.0000 0.0000 0.0000
Zr 0.7500 0.7500 0.7500
Se 0.3760 0.3760 0.3760
Se 0.3760 0.3760 0.8721
Se 0.3760 0.8721 0.3760
Se 0.8721 0.3760 0.3760

Values from the calculation:
Density of states at the Fermi level, states/eV/f.u.: 6.23
Symmetry: F-43m (216)



Record 11
Computed, not measured: a relaxed Sr2ZrSe crystal at the GGA-PBE level of DFT.

Cell: 3.6695 3.6695 9.4572 Å, 90.00 90.00 90.13°
Sites, in units of the cell vectors:
Sr 0.0000 0.0000 0.1987
Sr 0.0000 0.0000 0.8013
Zr 0.5000 0.5000 0.5000
Se 0.5000 0.5000 0.0000

Values from the calculation:
Density of states at the Fermi level, states/eV/f.u.: 3.93
Symmetry: Cmmm (65)



Record 12
Computed, not measured: a relaxed Sr2ZrSe crystal at the GGA-PBE level of DFT.

Cell: 10.2714 10.2714 10.2714 Å, 22.25 22.25 22.25°
Sites, in units of the cell vectors:
Sr 0.2329 0.2329 0.2329
Sr 0.7671 0.7671 0.7671
Zr 0.0000 0.0000 0.0000
Se 0.5000 0.5000 0.5000

Values from the calculation:
Density of states at the Fermi level, states/eV/f.u.: 1.71
Symmetry: R-3m (166)



Number 1: raw total energy -9.04 eV for the cell shown, formation energy (no corrections) -332 meV per atom. Number 2: raw total energy -15.34 eV for the cell shown, formation energy (no corrections) 184 meV per atom. Number 3: raw total energy -88.01 eV for the cell shown, formation energy (no corrections) -1488 meV per atom. Number 4: raw total energy -12.16 eV for the cell shown, formation energy (no corrections) 519 meV per atom. Number 5: raw total energy -82.97 eV for the cell shown, formation energy (no corrections) -1478 meV per atom. Number 6: raw total energy -17.09 eV for the cell shown, formation energy (no corrections) -423 meV per atom. Number 7: raw total energy -15.17 eV for the cell shown, formation energy (no corrections) 56 meV per atom. Number 8: raw total energy -17.17 eV for the cell shown, formation energy (no corrections) -442 meV per atom. Number 9: raw total energy -16.95 eV for the cell shown, formation energy (no corrections) -389 meV per atom. Number 10: raw total energy -23.93 eV for the cell shown, formation energy (no corrections) 40 meV per atom. Number 11: raw total energy -17.19 eV for the cell shown, formation energy (no corrections) -448 meV per atom. Number 12: raw total energy -17.15 eV for the cell shown, formation energy (no corrections) -438 meV per atom.